{"formula": "MoPS2Cl", "functional": "PBEsol", "state": "relaxed", "lattice": [[-3.610, -2.796, -0.169], [1.733, -2.026, -3.504], [2.069, -2.832, 2.661]], "species": ["Mo", "S", "S", "P", "Cl"], "fractional_positions": [[0.500, 0.500, 0.500], [0.000, 0.000, 0.500], [0.000, 0.500, 0.000], [0.500, 0.000, 0.000], [0.000, 0.000, 0.000]], "crystal_system": "tetragonal", "final_energy_ev_per_atom": -4.259, "formation_energy_uncorrected_ev_per_atom": 1.41, "total_magnetization_mub_per_cell": 2.3, "volume_a3_per_atom": 17.72, "density_kg_m3": 4246}

***

{"formula": "SbMoPCl2", "functional": "PBEsol", "state": "relaxed", "lattice": [[-0.542, -0.712, -4.543], [4.599, -0.064, -0.539], [0.022, -4.861, 0.759]], "species": ["Sb", "Mo", "Cl", "Cl", "P"], "fractional_positions": [[0.500, 0.500, 0.500], [0.000, 0.000, 0.000], [0.000, 0.500, 0.000], [0.500, 0.000, 0.000], [0.000, 0.000, 0.500]], "crystal_system": "tetragonal", "final_energy_ev_per_atom": -4.998, "formation_energy_uncorrected_ev_per_atom": 0.23, "total_magnetization_mub_per_cell": 1.5, "volume_a3_per_atom": 21.10, "density_kg_m3": 5030}

***

{"formula": "MoP2SeCl", "functional": "PBEsol", "state": "relaxed", "lattice": [[4.639, 0.000, 0.000], [0.000, 4.717, 0.000], [0.000, 0.000, 4.717]], "species": ["Mo", "P", "P", "Cl", "Se"], "fractional_positions": [[0.500, 0.500, 0.500], [0.000, 0.500, 0.000], [0.000, 0.000, 0.500], [0.500, 0.000, 0.000], [0.000, 0.000, 0.000]], "crystal_system": "tetragonal", "final_energy_ev_per_atom": -4.511, "formation_energy_uncorrected_ev_per_atom": 1.33, "total_magnetization_mub_per_cell": 3.0, "volume_a3_per_atom": 20.65, "density_kg_m3": 4380}

***

{"formula": "MoP2SeCl", "functional": "PBEsol", "state": "relaxed", "lattice": [[-1.703, 3.477, 2.270], [-0.110, -2.622, 3.932], [4.373, 1.437, 1.080]], "species": ["P", "P", "Cl", "Se", "Mo"], "fractional_positions": [[0.000, 0.000, 0.500], [0.000, 0.500, 0.000], [0.500, 0.000, 0.000], [0.500, 0.500, 0.500], [0.000, 0.000, 0.000]], "crystal_system": "tetragonal", "final_energy_ev_per_atom": -5.457, "formation_energy_uncorrected_ev_per_atom": 0.38, "total_magnetization_mub_per_cell": 0.0, "volume_a3_per_atom": 20.06, "density_kg_m3": 4507}

***

{"formula": "TiMoP2Cl", "functional": "PBEsol", "state": "relaxed", "lattice": [[-1.144, 4.435, -0.480], [-4.014, -1.239, -1.887], [-2.012, -0.052, 4.314]], "species": ["Cl", "Mo", "Ti", "P", "P"], "fractional_positions": [[0.000, 0.000, 0.500], [0.000, 0.000, 0.000], [0.500, 0.500, 0.500], [0.500, 0.000, 0.000], [0.000, 0.500, 0.000]], "crystal_system": "tetragonal", "final_energy_ev_per_atom": -6.296, "formation_energy_uncorrected_ev_per_atom": 0.44, "total_magnetization_mub_per_cell": 2.4, "volume_a3_per_atom": 20.19, "density_kg_m3": 3968}

***

{"formula": "TlMo2PCl", "functional": "PBEsol", "state": "relaxed", "lattice": [[4.574, 0.000, 0.000], [0.000, 4.574, 0.000], [0.000, 0.000, 4.999]], "species": ["Tl", "Mo", "Mo", "P", "Cl"], "fractional_positions": [[0.500, 0.500, 0.500], [0.500, 0.000, 0.000], [0.000, 0.500, 0.000], [0.000, 0.000, 0.000], [0.000, 0.000, 0.500]], "crystal_system": "tetragonal", "final_energy_ev_per_atom": -5.838, "formation_energy_uncorrected_ev_per_atom": 0.96, "total_magnetization_mub_per_cell": 3.6, "volume_a3_per_atom": 20.92, "density_kg_m3": 7347}

***

{"formula": "MoPWCl2", "functional": "PBEsol", "state": "relaxed", "lattice": [[-4.248, 0.617, -1.035], [-1.075, -3.652, 2.236], [-0.648, 2.867, 4.371]], "species": ["P", "Cl", "Cl", "W", "Mo"], "fractional_positions": [[0.500, 0.500, 0.500], [0.000, 0.500, 0.000], [0.500, 0.000, 0.000], [0.000, 0.000, 0.500], [0.000, 0.000, 0.000]], "crystal_system": "tetragonal", "final_energy_ev_per_atom": -5.947, "formation_energy_uncorrected_ev_per_atom": 1.13, "total_magnetization_mub_per_cell": 0.9, "volume_a3_per_atom": 20.54, "density_kg_m3": 6171}

***

{"formula": "ZnMoPCl2", "functional": "PBEsol", "state": "relaxed", "lattice": [[4.725, 0.000, 0.000], [0.000, 4.725, 0.000], [0.000, 0.000, 4.725]], "species": ["Mo", "Cl", "Cl", "Zn", "P"], "fractional_positions": [[0.000, 0.000, 0.000], [0.000, 0.500, 0.000], [0.000, 0.000, 0.500], [0.500, 0.500, 0.500], [0.500, 0.000, 0.000]], "crystal_system": "tetragonal", "final_energy_ev_per_atom": -4.509, "formation_energy_uncorrected_ev_per_atom": 0.12, "total_magnetization_mub_per_cell": 0.0, "volume_a3_per_atom": 21.10, "density_kg_m3": 4144}

***

{"formula": "MoPbCl3", "functional": "PBEsol", "state": "relaxed", "lattice": [[-4.545, 1.665, 0.090], [-1.256, -3.589, 2.997], [1.098, 2.790, 3.801]], "species": ["Pb", "Cl", "Cl", "Cl", "Mo"], "fractional_positions": [[0.500, 0.500, 0.500], [0.500, 0.000, 0.000], [0.000, 0.500, 0.000], [0.000, 0.000, 0.500], [0.000, 0.000, 0.000]], "crystal_system": "cubic", "final_energy_ev_per_atom": -4.514, "formation_energy_uncorrected_ev_per_atom": -0.16, "total_magnetization_mub_per_cell": 2.4, "volume_a3_per_atom": 22.70, "density_kg_m3": 5992}

***

{"formula": "Mo4PbCl", "functional": "PBEsol", "state": "relaxed", "lattice": [[5.326, 0.000, 0.000], [2.663, 4.612, 0.000], [2.663, 1.537, 4.349]], "species": ["Mo", "Mo", "Mo", "Mo", "Pb", "Cl"], "fractional_positions": [[0.370, 0.370, 0.370], [0.370, 0.891, 0.370], [0.370, 0.370, 0.891], [0.891, 0.370, 0.370], [0.750, 0.750, 0.750], [0.000, 0.000, 0.000]], "crystal_system": "cubic", "final_energy_ev_per_atom": -7.959, "formation_energy_uncorrected_ev_per_atom": 0.89, "total_magnetization_mub_per_cell": 0.0, "volume_a3_per_atom": 17.80, "density_kg_m3": 9738}

***

{"formula": "Mo2PdCl2", "functional": "PBEsol", "state": "relaxed", "lattice": [[-3.874, -1.608, 0.062], [1.182, -2.953, -2.735], [2.541, -0.463, 4.814]], "species": ["Mo", "Mo", "Cl", "Cl", "Pd"], "fractional_positions": [[0.750, 0.250, 0.500], [0.250, 0.750, 0.500], [0.639, 0.639, 0.277], [0.361, 0.361, 0.723], [0.000, 0.000, 0.000]], "crystal_system": "tetragonal", "final_energy_ev_per_atom": -6.178, "formation_energy_uncorrected_ev_per_atom": 0.52, "total_magnetization_mub_per_cell": 0.0, "volume_a3_per_atom": 16.14, "density_kg_m3": 7595}

***

{"formula": "MoPdCl2", "functional": "PBEsol", "state": "relaxed", "lattice": [[-2.497, -3.269, -0.970], [2.481, -2.567, 2.262], [-4.218, 4.304, 5.563]], "species": ["Cl", "Cl", "Cl", "Cl", "Pd", "Pd", "Mo", "Mo"], "fractional_positions": [[0.853, 0.375, 0.250], [0.625, 0.603, 0.750], [0.125, 0.147, 0.750], [0.397, 0.875, 0.250], [0.250, 0.750, 0.500], [0.000, 0.000, 0.000], [0.750, 0.250, 0.500], [0.500, 0.500, 0.000]], "crystal_system": "tetragonal", "final_energy_ev_per_atom": -5.112, "formation_energy_uncorrected_ev_per_atom": 0.32, "total_magnetization_mub_per_cell": 0.0, "volume_a3_per_atom": 17.05, "density_kg_m3": 6653}

***

{"formula": "SiMo2PdCl", "functional": "PBEsol", "state": "relaxed", "lattice": [[4.448, 0.000, 0.000], [0.000, 4.560, 0.000], [0.000, 0.000, 4.560]], "species": ["Mo", "Mo", "Si", "Pd", "Cl"], "fractional_positions": [[0.000, 0.500, 0.000], [0.000, 0.000, 0.500], [0.000, 0.000, 0.000], [0.500, 0.500, 0.500], [0.500, 0.000, 0.000]], "crystal_system": "tetragonal", "final_energy_ev_per_atom": -5.937, "formation_energy_uncorrected_ev_per_atom": 1.51, "total_magnetization_mub_per_cell": 0.0, "volume_a3_per_atom": 18.50, "density_kg_m3": 6496}

***

{"formula": "MoPt2Cl", "functional": "PBEsol", "state": "relaxed", "lattice": [[4.468, 0.000, 0.000], [2.234, 3.869, 0.000], [2.234, 1.290, 3.648]], "species": ["Pt", "Pt", "Cl", "Mo"], "fractional_positions": [[0.250, 0.250, 0.250], [0.750, 0.750, 0.750], [0.000, 0.000, 0.000], [0.500, 0.500, 0.500]], "crystal_system": "cubic", "final_energy_ev_per_atom": -6.258, "formation_energy_uncorrected_ev_per_atom": 0.67, "total_magnetization_mub_per_cell": 0.4, "volume_a3_per_atom": 15.77, "density_kg_m3": 13733}

***

{"formula": "MoPt2Cl", "functional": "PBEsol", "state": "relaxed", "lattice": [[-2.697, -0.405, 0.382], [0.784, -1.206, 4.254], [-0.740, 5.092, 0.177]], "species": ["Mo", "Pt", "Pt", "Cl"], "fractional_positions": [[0.000, 0.500, 0.500], [0.500, 0.500, 0.000], [0.000, 0.000, 0.000], [0.500, 0.000, 0.500]], "crystal_system": "monoclinic", "final_energy_ev_per_atom": -6.500, "formation_energy_uncorrected_ev_per_atom": 0.43, "total_magnetization_mub_per_cell": 0.0, "volume_a3_per_atom": 15.38, "density_kg_m3": 14080}

***

{"formula": "MoPt2Cl", "functional": "PBEsol", "state": "relaxed", "lattice": [[-2.016, 0.663, -1.841], [0.674, -3.365, -1.950], [-3.749, -2.589, 3.172]], "species": ["Pt", "Pt", "Cl", "Mo"], "fractional_positions": [[0.000, 0.000, 0.260], [0.000, 0.000, 0.740], [0.500, 0.500, 0.000], [0.500, 0.500, 0.500]], "crystal_system": "orthorhombic", "final_energy_ev_per_atom": -6.625, "formation_energy_uncorrected_ev_per_atom": 0.30, "total_magnetization_mub_per_cell": 0.0, "volume_a3_per_atom": 15.39, "density_kg_m3": 14068}

***

{"formula": "MoPt2Cl", "functional": "PBEsol", "state": "relaxed", "lattice": [[3.878, 0.000, 0.000], [0.000, 3.878, 0.000], [-1.939, -1.939, 4.087]], "species": ["Mo", "Cl", "Pt", "Pt"], "fractional_positions": [[0.000, 0.000, 0.000], [0.500, 0.500, 0.000], [0.750, 0.250, 0.500], [0.250, 0.750, 0.500]], "crystal_system": "tetragonal", "final_energy_ev_per_atom": -6.373, "formation_energy_uncorrected_ev_per_atom": 0.55, "total_magnetization_mub_per_cell": 0.0, "volume_a3_per_atom": 15.37, "density_kg_m3": 14087}

***

{"formula": "MoPtS2Cl", "functional": "PBEsol", "state": "relaxed", "lattice": [[4.535, 0.000, 0.000], [0.000, 4.605, 0.000], [0.000, 0.000, 4.605]], "species": ["Pt", "Cl", "S", "S", "Mo"], "fractional_positions": [[0.500, 0.500, 0.500], [0.500, 0.000, 0.000], [0.000, 0.500, 0.000], [0.000, 0.000, 0.500], [0.000, 0.000, 0.000]], "crystal_system": "tetragonal", "final_energy_ev_per_atom": -5.357, "formation_energy_uncorrected_ev_per_atom": 0.54, "total_magnetization_mub_per_cell": 0.0, "volume_a3_per_atom": 19.24, "density_kg_m3": 6744}

***

{"formula": "RbMoCl2", "functional": "PBEsol", "state": "relaxed", "lattice": [[-0.615, -2.140, -2.348], [2.297, -2.078, -0.938], [-2.421, -7.602, 5.331]], "species": ["Mo", "Rb", "Cl", "Cl"], "fractional_positions": [[0.000, 0.000, 0.000], [0.500, 0.500, 0.500], [0.918, 0.918, 0.247], [0.082, 0.082, 0.753]], "crystal_system": "trigonal", "final_energy_ev_per_atom": -4.415, "formation_energy_uncorrected_ev_per_atom": -0.21, "total_magnetization_mub_per_cell": 0.0, "volume_a3_per_atom": 21.34, "density_kg_m3": 4909}

***

{"formula": "Rb3Mo2Cl9", "functional": "PBEsol", "state": "relaxed", "lattice": [[7.052, 0.000, 0.000], [-3.526, 6.107, 0.000], [0.000, 0.000, 17.379]], "species": ["Mo", "Mo", "Mo", "Mo", "Cl", "Cl", "Cl", "Cl", "Cl", "Cl", "Cl", "Cl", "Cl", "Cl", "Cl", "Cl", "Cl", "Cl", "Cl", "Cl", "Cl", "Cl", "Rb", "Rb", "Rb", "Rb", "Rb", "Rb"], "fractional_positions": [[0.667, 0.333, 0.329], [0.333, 0.667, 0.829], [0.333, 0.667, 0.671], [0.667, 0.333, 0.171], [0.826, 0.174, 0.407], [0.500, 0.500, 0.250], [0.826, 0.653, 0.407], [0.347, 0.174, 0.093], [0.653, 0.826, 0.907], [0.174, 0.347, 0.593], [0.500, 0.000, 0.250], [0.174, 0.826, 0.907], [0.826, 0.653, 0.093], [0.000, 0.500, 0.750], [0.826, 0.174, 0.093], [0.500, 0.000, 0.750], [0.174, 0.347, 0.907], [0.653, 0.826, 0.593], [0.000, 0.500, 0.250], [0.500, 0.500, 0.750], [0.174, 0.826, 0.593], [0.347, 0.174, 0.407], [0.667, 0.333, 0.934], [0.000, 0.000, 0.250], [0.333, 0.667, 0.066], [0.667, 0.333, 0.566], [0.333, 0.667, 0.434], [0.000, 0.000, 0.750]], "crystal_system": "hexagonal", "final_energy_ev_per_atom": -4.574, "formation_energy_uncorrected_ev_per_atom": -1.38, "total_magnetization_mub_per_cell": 8.0, "volume_a3_per_atom": 26.73, "density_kg_m3": 3405}